Entry 1:
## Sm7Sn2Pt2 (PBE-GGA)

Data for an optimized crystal structure of Sm7Sn2Pt2. Values from VASP.

Summary:
Spin magnetization, μB/f.u.: 0.00
Formation enthalpy at 0 K, eV/atom: -0.605

```
&SYSTEM
  ibrav = 0, nat = 11, ntyp = 3
/
ATOMIC_SPECIES
Sm 150.36 Sm.upf
Sn 118.71 Sn.upf
Pt 195.08 Pt.upf
ATOMIC_POSITIONS crystal
Sm 0.9998 0.2557 0.5003
Sm 0.5003 0.7443 0.9998
Sm 0.0002 0.7443 0.4997
Sm 0.4997 0.2557 0.0002
Sm 0.0000 0.0000 0.0000
Sm 0.5002 0.7571 0.4998
Sm 0.4998 0.2429 0.5002
Sn 0.8239 0.5000 0.8239
Sn 0.1761 0.5000 0.1761
Pt 0.7155 0.0000 0.2845
Pt 0.2845 0.0000 0.7155
CELL_PARAMETERS angstrom
6.9938 -0.0029 -0.8009
0.0030 7.1413 0.0033
-1.2351 -0.0024 6.9303
```

Entry 2:
## SmSn4Pt4 (PBE-GGA)

Data for an optimized crystal structure of SmSn4Pt4. Values from VASP.

Summary:
Spin magnetization, μB/f.u.: 0.00
Formation enthalpy at 0 K, eV/atom: -0.561

```
&SYSTEM
  ibrav = 0, nat = 18, ntyp = 3
/
ATOMIC_SPECIES
Sm 150.36 Sm.upf
Sn 118.71 Sn.upf
Pt 195.08 Pt.upf
ATOMIC_POSITIONS crystal
Sm 0.0000 0.0000 0.0000
Sm 0.5000 0.5000 0.5000
Sn 0.2426 0.5000 0.8697
Sn 0.7574 0.5000 0.8697
Sn 0.5000 0.7574 0.1303
Sn 0.5000 0.2426 0.1303
Sn 0.0000 0.7426 0.3697
Sn 0.0000 0.2574 0.3697
Sn 0.2574 0.0000 0.6303
Sn 0.7426 0.0000 0.6303
Pt 0.5000 0.7919 0.8195
Pt 0.5000 0.2081 0.8195
Pt 0.7919 0.5000 0.1805
Pt 0.2081 0.5000 0.1805
Pt 0.2919 0.0000 0.3195
Pt 0.7081 0.0000 0.3195
Pt 0.0000 0.2919 0.6805
Pt 0.0000 0.7081 0.6805
CELL_PARAMETERS angstrom
6.8377 0.0000 0.0000
0.0000 6.8377 0.0000
0.0000 0.0000 8.6110
```

Entry 3:
## Sm4Sn8Pt (PBE-GGA)

Data for an optimized crystal structure of Sm4Sn8Pt. Values from VASP.

Summary:
Spin magnetization, μB/f.u.: 0.00
Formation enthalpy at 0 K, eV/atom: -0.660

```
&SYSTEM
  ibrav = 0, nat = 13, ntyp = 3
/
ATOMIC_SPECIES
Sm 150.36 Sm.upf
Sn 118.71 Sn.upf
Pt 195.08 Pt.upf
ATOMIC_POSITIONS crystal
Sm 0.0000 0.0000 0.0928
Sm 0.0000 0.5000 0.6085
Sm 0.5000 0.5000 0.3945
Sm 0.5000 0.0000 0.8970
Sn 0.0000 0.0000 0.4673
Sn 0.0000 0.5000 0.9307
Sn 0.5000 0.5000 0.0482
Sn 0.5000 0.0000 0.5792
Sn 0.0000 0.5000 0.2310
Sn 0.0000 0.0000 0.7518
Sn 0.5000 0.0000 0.2291
Sn 0.5000 0.5000 0.7551
Pt 0.0000 0.0000 0.3177
CELL_PARAMETERS angstrom
4.4441 0.0000 0.0000
0.0000 4.4883 0.0000
0.0000 0.0000 17.3608
```

Entry 4:
## Sm5SnPt2 (PBE-GGA)

Data for an optimized crystal structure of Sm5SnPt2. Values from VASP.

Summary:
Spin magnetization, μB/f.u.: 0.00
Formation enthalpy at 0 K, eV/atom: -0.858

```
&SYSTEM
  ibrav = 0, nat = 16, ntyp = 3
/
ATOMIC_SPECIES
Sm 150.36 Sm.upf
Sn 118.71 Sn.upf
Pt 195.08 Pt.upf
ATOMIC_POSITIONS crystal
Sm 0.5210 0.7016 0.7226
Sm 0.7984 0.9790 0.2774
Sm 0.0000 0.0000 0.0000
Sm 0.5000 0.5000 0.0000
Sm 0.2016 0.0210 0.7226
Sm 0.7016 0.2016 0.7226
Sm 0.0210 0.5210 0.7226
Sm 0.2984 0.7984 0.2774
Sm 0.9790 0.4790 0.2774
Sm 0.4790 0.2984 0.2774
Sn 0.7500 0.7500 0.5000
Sn 0.2500 0.2500 0.5000
Pt 0.1350 0.3650 0.0000
Pt 0.6350 0.1350 0.0000
Pt 0.3650 0.8650 0.0000
Pt 0.8650 0.6350 0.0000
CELL_PARAMETERS angstrom
7.2349 0.0000 -3.4153
-1.6122 7.0530 -3.4153
-0.2357 -0.2957 8.8715
```

Entry 5:
## SmSn3Pt (PBE-GGA)

Data for an optimized crystal structure of SmSn3Pt. Values from VASP.

Summary:
Spin magnetization, μB/f.u.: 0.00
Formation enthalpy at 0 K, eV/atom: -0.489

```
&SYSTEM
  ibrav = 0, nat = 10, ntyp = 3
/
ATOMIC_SPECIES
Sm 150.36 Sm.upf
Sn 118.71 Sn.upf
Pt 195.08 Pt.upf
ATOMIC_POSITIONS crystal
Sm 0.7500 0.2500 0.2127
Sm 0.2500 0.7500 0.7873
Sn 0.7500 0.7500 0.0440
Sn 0.2500 0.2500 0.9560
Sn 0.7500 0.0132 0.6369
Sn 0.7500 0.4868 0.6369
Sn 0.2500 0.9868 0.3631
Sn 0.2500 0.5132 0.3631
Pt 0.7500 0.7500 0.3623
Pt 0.2500 0.2500 0.6377
CELL_PARAMETERS angstrom
-0.6276 -2.9104 3.5587
-0.3594 -4.9354 -4.0996
8.5244 -1.1133 0.5930
```

Entry 6:
## SmSn6Pt (PBE-GGA)

Data for an optimized crystal structure of SmSn6Pt. Values from VASP.

Summary:
Spin magnetization, μB/f.u.: 0.00
Formation enthalpy at 0 K, eV/atom: -0.281

```
&SYSTEM
  ibrav = 0, nat = 8, ntyp = 3
/
ATOMIC_SPECIES
Sm 150.36 Sm.upf
Sn 118.71 Sn.upf
Pt 195.08 Pt.upf
ATOMIC_POSITIONS crystal
Sm 0.0000 0.0000 0.0000
Sn 0.7482 0.6025 0.5399
Sn 0.7482 0.1424 0.4601
Sn 0.2518 0.8576 0.5399
Sn 0.2518 0.3975 0.4601
Sn 0.7263 0.7249 0.0000
Sn 0.2737 0.2751 0.0000
Pt 0.5000 0.5000 0.0000
CELL_PARAMETERS angstrom
-5.1188 4.7537 -0.9311
-2.5351 1.1013 -5.7353
-5.0399 -3.3309 -1.9455
```

Entry 7:
## Sm2Sn3Pt4 (PBE-GGA)

Data for an optimized crystal structure of Sm2Sn3Pt4. Values from VASP.

Summary:
Spin magnetization, μB/f.u.: 0.00
Formation enthalpy at 0 K, eV/atom: -0.855

```
&SYSTEM
  ibrav = 0, nat = 18, ntyp = 3
/
ATOMIC_SPECIES
Sm 150.36 Sm.upf
Sn 118.71 Sn.upf
Pt 195.08 Pt.upf
ATOMIC_POSITIONS crystal
Sm 0.1014 0.5966 0.2027
Sm 0.8986 0.4034 0.7973
Sm 0.3986 0.0966 0.7973
Sm 0.6014 0.9034 0.2027
Sn 0.0000 0.0000 0.0000
Sn 0.5000 0.5000 0.0000
Sn 0.5159 0.7500 0.5319
Sn 0.9841 0.2500 0.4681
Sn 0.4841 0.2500 0.4681
Sn 0.0159 0.7500 0.5319
Pt 0.6841 0.7500 0.8683
Pt 0.8159 0.2500 0.1317
Pt 0.3159 0.2500 0.1317
Pt 0.1841 0.7500 0.8683
Pt 0.1693 0.9716 0.3386
Pt 0.8307 0.0284 0.6614
Pt 0.3307 0.4716 0.6614
Pt 0.6693 0.5284 0.3386
CELL_PARAMETERS angstrom
-4.3720 -1.1593 4.0019
-1.6411 -6.5506 -3.6904
7.5773 -3.4342 2.7263
```

Entry 8:
## SmSn2Pt9 (PBE-GGA)

Data for an optimized crystal structure of SmSn2Pt9. Values from VASP.

Summary:
Spin magnetization, μB/f.u.: 0.00
Formation enthalpy at 0 K, eV/atom: -0.567

```
&SYSTEM
  ibrav = 0, nat = 12, ntyp = 3
/
ATOMIC_SPECIES
Sm 150.36 Sm.upf
Sn 118.71 Sn.upf
Pt 195.08 Pt.upf
ATOMIC_POSITIONS crystal
Sm 0.0000 0.0000 0.0000
Sn 0.0000 0.0000 0.3345
Sn 0.0000 0.0000 0.6655
Pt 0.5000 0.5000 0.0000
Pt 0.5000 0.5000 0.3384
Pt 0.5000 0.5000 0.6616
Pt 0.5000 0.0000 0.1741
Pt 0.5000 0.0000 0.5000
Pt 0.5000 0.0000 0.8259
Pt 0.0000 0.5000 0.1741
Pt 0.0000 0.5000 0.5000
Pt 0.0000 0.5000 0.8259
CELL_PARAMETERS angstrom
-1.5529 -1.7794 -3.3550
2.8972 -2.8986 0.1963
-7.3322 -6.8526 7.0282
```

Entry 9:
## Sm8Sn2Pt (PBE-GGA)

Data for an optimized crystal structure of Sm8Sn2Pt. Values from VASP.

Summary:
Spin magnetization, μB/f.u.: 0.00
Formation enthalpy at 0 K, eV/atom: -0.507

```
&SYSTEM
  ibrav = 0, nat = 11, ntyp = 3
/
ATOMIC_SPECIES
Sm 150.36 Sm.upf
Sn 118.71 Sn.upf
Pt 195.08 Pt.upf
ATOMIC_POSITIONS crystal
Sm 0.4079 0.5325 0.8158
Sm 0.6482 0.0004 0.2964
Sm 0.7825 0.6780 0.5651
Sm 0.9818 0.2174 0.9635
Sm 0.2175 0.3220 0.4349
Sm 0.3518 0.9996 0.7036
Sm 0.5921 0.4675 0.1842
Sm 0.0182 0.7826 0.0365
Sn 0.8186 0.2437 0.6371
Sn 0.1814 0.7563 0.3629
Pt 0.5000 0.0000 0.0000
CELL_PARAMETERS angstrom
-3.2181 -1.4497 3.6089
5.2612 -2.4042 3.7257
0.6000 10.0949 1.0596
```

Entry 10:
## SmSn2Pt (PBE-GGA)

Data for an optimized crystal structure of SmSn2Pt. Values from VASP.

Summary:
Spin magnetization, μB/f.u.: 0.00
Formation enthalpy at 0 K, eV/atom: -0.158

```
&SYSTEM
  ibrav = 0, nat = 4, ntyp = 3
/
ATOMIC_SPECIES
Sm 150.36 Sm.upf
Pt 195.08 Pt.upf
Sn 118.71 Sn.upf
ATOMIC_POSITIONS crystal
Sm 0.0000 0.0000 0.0000
Pt 0.5000 0.5000 0.5000
Sn 0.1056 0.1056 0.6832
Sn 0.8944 0.8944 0.3168
CELL_PARAMETERS angstrom
-2.5537 1.2818 2.1092
-3.3774 -0.9745 -0.5069
-0.6827 -7.6488 6.8119
```

Entry 11:
## SmSn3Pt3 (PBE-GGA)

Data for an optimized crystal structure of SmSn3Pt3. Values from VASP.

Summary:
Spin magnetization, μB/f.u.: 0.00
Formation enthalpy at 0 K, eV/atom: -0.238

```
&SYSTEM
  ibrav = 0, nat = 14, ntyp = 3
/
ATOMIC_SPECIES
Sm 150.36 Sm.upf
Pt 195.08 Pt.upf
Sn 118.71 Sn.upf
ATOMIC_POSITIONS crystal
Sm 0.5000 0.5000 0.5000
Sm 0.0000 0.0000 0.0000
Pt 0.0000 0.2500 0.5000
Pt 0.0000 0.7500 0.5000
Pt 0.5000 0.0000 0.7500
Pt 0.7500 0.5000 0.0000
Pt 0.5000 0.0000 0.2500
Pt 0.2500 0.5000 0.0000
Sn 0.2500 0.0000 0.5000
Sn 0.0000 0.5000 0.2500
Sn 0.5000 0.7500 0.0000
Sn 0.7500 0.0000 0.5000
Sn 0.0000 0.5000 0.7500
Sn 0.5000 0.2500 0.0000
CELL_PARAMETERS angstrom
-0.3107 -4.9875 -5.2875
6.7219 -2.2108 1.6904
-2.7656 -4.8131 4.7026
```

Entry 12:
## Sm6Sn3Pt (PBE-GGA)

Data for an optimized crystal structure of Sm6Sn3Pt. Values from VASP.

Summary:
Spin magnetization, μB/f.u.: 0.00
Formation enthalpy at 0 K, eV/atom: -0.640

```
&SYSTEM
  ibrav = 0, nat = 20, ntyp = 3
/
ATOMIC_SPECIES
Sm 150.36 Sm.upf
Sn 118.71 Sn.upf
Pt 195.08 Pt.upf
ATOMIC_POSITIONS crystal
Sm 0.6190 0.1630 0.9387
Sm 0.6027 0.1880 0.5614
Sm 0.6344 0.4531 0.2618
Sm 0.3656 0.5469 0.7382
Sm 0.3973 0.8120 0.4386
Sm 0.3810 0.8370 0.0613
Sm 0.1190 0.3370 0.4387
Sm 0.1027 0.3120 0.0614
Sm 0.1344 0.0469 0.7618
Sm 0.8656 0.9531 0.2382
Sm 0.8973 0.6880 0.9386
Sm 0.8810 0.6630 0.5613
Sn 0.5950 0.8840 0.7412
Sn 0.5000 0.5000 0.0000
Sn 0.4050 0.1160 0.2588
Sn 0.0950 0.6160 0.2412
Sn 0.0000 0.0000 0.5000
Sn 0.9050 0.3840 0.7588
Pt 0.5000 0.5000 0.5000
Pt 0.0000 0.0000 0.0000
CELL_PARAMETERS angstrom
6.2936 0.0000 0.0657
0.0000 8.8348 0.0000
0.1550 0.0000 10.9978
```

Entry 13:
## Sm12SnPt6 (PBE-GGA)

Data for an optimized crystal structure of Sm12SnPt6. Values from VASP.

Summary:
Spin magnetization, μB/f.u.: 0.00
Formation enthalpy at 0 K, eV/atom: -0.824

```
&SYSTEM
  ibrav = 0, nat = 19, ntyp = 3
/
ATOMIC_SPECIES
Sm 150.36 Sm.upf
Sn 118.71 Sn.upf
Pt 195.08 Pt.upf
ATOMIC_POSITIONS crystal
Sm 0.3022 0.1217 0.8195
Sm 0.3022 0.4826 0.1805
Sm 0.6978 0.5174 0.8195
Sm 0.6978 0.8783 0.1805
Sm 0.1217 0.8195 0.3022
Sm 0.4826 0.1805 0.3022
Sm 0.5174 0.8195 0.6978
Sm 0.8783 0.1805 0.6978
Sm 0.8195 0.3022 0.1217
Sm 0.1805 0.3022 0.4826
Sm 0.8195 0.6978 0.5174
Sm 0.1805 0.6978 0.8783
Sn 0.0000 0.0000 0.0000
Pt 0.3635 0.5000 0.8635
Pt 0.6365 0.5000 0.1365
Pt 0.5000 0.8635 0.3635
Pt 0.5000 0.1365 0.6365
Pt 0.8635 0.3635 0.5000
Pt 0.1365 0.6365 0.5000
CELL_PARAMETERS angstrom
8.3449 0.0000 -2.9504
-4.1725 7.2269 -2.9504
0.0000 0.0000 8.8511
```

Entry 14:
## Sr2SmSn3Pt4 (PBE-GGA)

Data for an optimized crystal structure of Sr2SmSn3Pt4. Values from VASP.

Summary:
Spin magnetization, μB/f.u.: 0.00
Formation enthalpy at 0 K, eV/atom: -0.862

```
&SYSTEM
  ibrav = 0, nat = 10, ntyp = 4
/
ATOMIC_SPECIES
Sr 87.62 Sr.upf
Sm 150.36 Sm.upf
Sn 118.71 Sn.upf
Pt 195.08 Pt.upf
ATOMIC_POSITIONS crystal
Sr 0.5000 0.0000 0.2266
Sr 0.0000 0.5000 0.7734
Sm 0.5000 0.5000 0.5000
Sn 0.0000 0.0000 0.5000
Sn 0.5000 0.0000 0.8813
Sn 0.0000 0.5000 0.1187
Pt 0.5000 0.5000 0.0000
Pt 0.0000 0.0000 0.0000
Pt 0.5000 0.0000 0.6453
Pt 0.0000 0.5000 0.3547
CELL_PARAMETERS angstrom
-1.3506 -1.9413 -4.0660
3.5469 -3.0759 0.2904
-6.6097 -7.0948 5.5829
```

Entry 15:
## TbSm2Sn3Pt4 (PBE-GGA)

Data for an optimized crystal structure of TbSm2Sn3Pt4. Values from VASP.

Summary:
Spin magnetization, μB/f.u.: 0.00
Formation enthalpy at 0 K, eV/atom: -0.884

```
&SYSTEM
  ibrav = 0, nat = 10, ntyp = 4
/
ATOMIC_SPECIES
Tb 158.93 Tb.upf
Sm 150.36 Sm.upf
Sn 118.71 Sn.upf
Pt 195.08 Pt.upf
ATOMIC_POSITIONS crystal
Tb 0.5000 0.5000 0.5000
Sm 0.5000 0.0000 0.2140
Sm 0.0000 0.5000 0.7860
Sn 0.0000 0.0000 0.5000
Sn 0.5000 0.0000 0.8739
Sn 0.0000 0.5000 0.1261
Pt 0.5000 0.5000 0.0000
Pt 0.0000 0.0000 0.0000
Pt 0.5000 0.0000 0.6440
Pt 0.0000 0.5000 0.3560
CELL_PARAMETERS angstrom
-2.7856 -1.2066 3.4065
3.5505 -0.1119 2.8637
-1.6628 10.8575 2.4860
```

Entry 16:
## Sm2TiSn3Pt4 (PBE-GGA)

Data for an optimized crystal structure of Sm2TiSn3Pt4. Values from VASP.

Summary:
Spin magnetization, μB/f.u.: 0.01
Formation enthalpy at 0 K, eV/atom: -0.832

```
&SYSTEM
  ibrav = 0, nat = 10, ntyp = 4
/
ATOMIC_SPECIES
Sm 150.36 Sm.upf
Ti 47.87 Ti.upf
Sn 118.71 Sn.upf
Pt 195.08 Pt.upf
ATOMIC_POSITIONS crystal
Sm 0.5000 0.0000 0.2458
Sm 0.0000 0.5000 0.7542
Ti 0.5000 0.5000 0.5000
Sn 0.0000 0.0000 0.5000
Sn 0.5000 0.0000 0.8644
Sn 0.0000 0.5000 0.1356
Pt 0.5000 0.5000 0.0000
Pt 0.0000 0.0000 0.0000
Pt 0.5000 0.0000 0.6312
Pt 0.0000 0.5000 0.3688
CELL_PARAMETERS angstrom
4.4298 0.0000 0.0000
0.0000 4.4298 0.0000
0.0000 0.0000 11.0877
```

Entry 17:
## Sm2TmSn3Pt4 (PBE-GGA)

Data for an optimized crystal structure of Sm2TmSn3Pt4. Values from VASP.

Summary:
Spin magnetization, μB/f.u.: 0.00
Formation enthalpy at 0 K, eV/atom: -0.901

```
&SYSTEM
  ibrav = 0, nat = 10, ntyp = 4
/
ATOMIC_SPECIES
Sm 150.36 Sm.upf
Tm 168.93 Tm.upf
Sn 118.71 Sn.upf
Pt 195.08 Pt.upf
ATOMIC_POSITIONS crystal
Sm 0.5000 0.0000 0.2174
Sm 0.0000 0.5000 0.7826
Tm 0.5000 0.5000 0.5000
Sn 0.0000 0.0000 0.5000
Sn 0.5000 0.0000 0.8728
Sn 0.0000 0.5000 0.1272
Pt 0.5000 0.5000 0.0000
Pt 0.0000 0.0000 0.0000
Pt 0.5000 0.0000 0.6409
Pt 0.0000 0.5000 0.3591
CELL_PARAMETERS angstrom
4.5573 0.0000 0.0000
0.0000 4.5573 0.0000
0.0000 0.0000 11.1602
```

Entry 18:
## SmTmSnPt (PBE-GGA)

Data for an optimized crystal structure of SmTmSnPt. Values from VASP.

Summary:
Spin magnetization, μB/f.u.: 0.00
Formation enthalpy at 0 K, eV/atom: -0.827

```
&SYSTEM
  ibrav = 0, nat = 4, ntyp = 4
/
ATOMIC_SPECIES
Tm 168.93 Tm.upf
Sm 150.36 Sm.upf
Pt 195.08 Pt.upf
Sn 118.71 Sn.upf
ATOMIC_POSITIONS crystal
Tm 0.5000 0.5000 0.5000
Sm 0.0000 0.0000 0.0000
Pt 0.7500 0.7500 0.7500
Sn 0.2500 0.2500 0.2500
CELL_PARAMETERS angstrom
5.1703 0.0000 0.0000
2.5852 4.4776 0.0000
2.5852 1.4925 4.2215
```

Entry 19:
## SmYSnPt (PBE-GGA)

Data for an optimized crystal structure of SmYSnPt. Values from VASP.

Summary:
Spin magnetization, μB/f.u.: 0.00
Formation enthalpy at 0 K, eV/atom: -0.833

```
&SYSTEM
  ibrav = 0, nat = 4, ntyp = 4
/
ATOMIC_SPECIES
Y 88.91 Y.upf
Sm 150.36 Sm.upf
Pt 195.08 Pt.upf
Sn 118.71 Sn.upf
ATOMIC_POSITIONS crystal
Y 0.5000 0.5000 0.5000
Sm 0.0000 0.0000 0.0000
Pt 0.7500 0.7500 0.7500
Sn 0.2500 0.2500 0.2500
CELL_PARAMETERS angstrom
5.2062 0.0000 0.0000
2.6031 4.5087 0.0000
2.6031 1.5029 4.2508
```

Entry 20:
## Sm2Zn2SnPt5 (PBE-GGA)

Data for an optimized crystal structure of Sm2Zn2SnPt5. Values from VASP.

Summary:
Spin magnetization, μB/f.u.: 0.00
Formation enthalpy at 0 K, eV/atom: -0.806

```
&SYSTEM
  ibrav = 0, nat = 20, ntyp = 4
/
ATOMIC_SPECIES
Sm 150.36 Sm.upf
Zn 65.41 Zn.upf
Sn 118.71 Sn.upf
Pt 195.08 Pt.upf
ATOMIC_POSITIONS crystal
Sm 0.0000 0.6778 0.1778
Sm 0.0000 0.3222 0.8222
Sm 0.0000 0.1778 0.3222
Sm 0.0000 0.8222 0.6778
Zn 0.0000 0.1190 0.6190
Zn 0.0000 0.8810 0.3810
Zn 0.0000 0.6190 0.8810
Zn 0.0000 0.3810 0.1190
Sn 0.0000 0.0000 0.0000
Sn 0.0000 0.5000 0.5000
Pt 0.5000 0.2099 0.0646
Pt 0.5000 0.7901 0.9354
Pt 0.5000 0.0646 0.7901
Pt 0.5000 0.7099 0.4354
Pt 0.5000 0.9354 0.2099
Pt 0.5000 0.2901 0.5646
Pt 0.5000 0.5646 0.7099
Pt 0.5000 0.4354 0.2901
Pt 0.5000 0.5000 0.0000
Pt 0.5000 0.0000 0.5000
CELL_PARAMETERS angstrom
-2.4733 2.9647 -0.0221
-4.5800 -3.7626 7.8098
5.9754 5.0291 5.9271
```